1.
# KMn2Cl6 PBE relaxed
# DFT total energy (eV per atom): -4.638
# Relative energy among the computed polymorphs (meV per atom): 0
# Raw formation energy (eV per atom): -1.247
data_KMn2Cl6
_chemical_formula_sum 'K1 Mn2 Cl6'
_cell_length_a 6.4669
_cell_length_b 6.4669
_cell_length_c 6.9317
_cell_angle_alpha 90.00
_cell_angle_beta 90.00
_cell_angle_gamma 120.00
_space_group_name_H-M_alt 'P -3 1 m'
_space_group_IT_number 162
_space_group_name_Hall '-P 3 2'
loop_
_atom_site_label
_atom_site_fract_x
_atom_site_fract_y
_atom_site_fract_z
_atom_site_occupancy
K1 0.0000 0.0000 0.0000 1
Mn1 0.3333 0.6667 0.5000 1
Cl1 0.0000 0.3800 0.7025 1

2.
# KMn3Cl8 PBE relaxed
# DFT total energy (eV per atom): -4.740
# Raw formation energy (eV per atom): -1.125
data_KMn3Cl8
_chemical_formula_sum 'K2 Mn6 Cl16'
_cell_length_a 13.570
_cell_length_b 7.782
_cell_length_c 7.602
_cell_angle_alpha 90.00
_cell_angle_beta 123.68
_cell_angle_gamma 90.00
_space_group_name_H-M_alt 'C 1 2/m 1'
_space_group_IT_number 12
_space_group_name_Hall '-C 2y'
loop_
_atom_site_label
_atom_site_fract_x
_atom_site_fract_y
_atom_site_fract_z
_atom_site_occupancy
K1 0.000 0.000 0.000 1
Mn1 0.000 0.500 0.000 1
Mn2 0.250 0.250 0.500 1
Cl1 0.017 0.298 0.243 1
Cl2 0.242 0.500 0.697 1
Cl3 0.250 0.000 0.729 1

3.
# K5MnCl8 PBE relaxed
# DFT total energy (eV per atom): -3.726
# Raw formation energy (eV per atom): -1.624
data_K5MnCl8
_chemical_formula_sum 'K10 Mn2 Cl16'
_cell_length_a 9.279
_cell_length_b 9.279
_cell_length_c 10.223
_cell_angle_alpha 90.00
_cell_angle_beta 90.00
_cell_angle_gamma 90.00
_space_group_name_H-M_alt 'I -4'
_space_group_IT_number 82
_space_group_name_Hall 'I -4'
loop_
_atom_site_label
_atom_site_fract_x
_atom_site_fract_y
_atom_site_fract_z
_atom_site_occupancy
K1 0.000 0.000 0.000 1
K2 0.137 0.716 0.387 1
Mn1 0.000 0.500 0.750 1
Cl1 0.032 0.736 0.707 1
Cl2 0.104 0.694 0.082 1

4.
# K2MnCl PBE relaxed
# DFT total energy (eV per atom): -3.345
# Relative energy among the computed polymorphs (meV per atom): 266
# Raw formation energy (eV per atom): -0.042
data_K2MnCl
_chemical_formula_sum 'K8 Mn4 Cl4'
_cell_length_a 8.349
_cell_length_b 8.349
_cell_length_c 8.349
_cell_angle_alpha 90.00
_cell_angle_beta 90.00
_cell_angle_gamma 90.00
_space_group_name_H-M_alt 'F m -3 m'
_space_group_IT_number 225
_space_group_name_Hall '-F 4 2 3'
loop_
_atom_site_label
_atom_site_fract_x
_atom_site_fract_y
_atom_site_fract_z
_atom_site_occupancy
K1 0.250 0.250 0.250 1
Mn1 0.000 0.000 0.000 1
Cl1 0.000 0.000 0.500 1

5.
# KMn4Cl PBE relaxed
# DFT total energy (eV per atom): -5.824
# Raw formation energy (eV per atom): 0.780
data_KMn4Cl
_chemical_formula_sum 'K4 Mn16 Cl4'
_cell_length_a 7.996
_cell_length_b 7.996
_cell_length_c 7.996
_cell_angle_alpha 90.00
_cell_angle_beta 90.00
_cell_angle_gamma 90.00
_space_group_name_H-M_alt 'F -4 3 m'
_space_group_IT_number 216
_space_group_name_Hall 'F -4 2 3'
loop_
_atom_site_label
_atom_site_fract_x
_atom_site_fract_y
_atom_site_fract_z
_atom_site_occupancy
K1 0.000 0.000 0.000 1
Mn1 0.127 0.127 0.627 1
Cl1 0.250 0.250 0.250 1

6.
# K4Mn3Cl10 PBE relaxed
# DFT total energy (eV per atom): -4.459
# Raw formation energy (eV per atom): -1.496
data_K4Mn3Cl10
_chemical_formula_sum 'K8 Mn6 Cl20'
_cell_length_a 5.062
_cell_length_b 5.062
_cell_length_c 35.760
_cell_angle_alpha 90.00
_cell_angle_beta 90.00
_cell_angle_gamma 90.00
_space_group_name_H-M_alt 'I 4/m m m'
_space_group_IT_number 139
_space_group_name_Hall '-I 4 2'
loop_
_atom_site_label
_atom_site_fract_x
_atom_site_fract_y
_atom_site_fract_z
_atom_site_occupancy
K1 0.000 0.000 0.068 1
K2 0.000 0.000 0.200 1
Mn1 0.000 0.000 0.357 1
Mn2 0.000 0.000 0.500 1
Cl1 0.000 0.000 0.288 1
Cl2 0.000 0.000 0.429 1
Cl3 0.000 0.500 0.000 1
Cl4 0.000 0.500 0.140 1

7.
# K3MnCl PBE relaxed
# DFT total energy (eV per atom): -3.045
# Relative energy among the computed polymorphs (meV per atom): 0
# Raw formation energy (eV per atom): -0.183
data_K3MnCl
_chemical_formula_sum 'K3 Mn1 Cl1'
_cell_length_a 6.095
_cell_length_b 6.095
_cell_length_c 6.095
_cell_angle_alpha 90.00
_cell_angle_beta 90.00
_cell_angle_gamma 90.00
_space_group_name_H-M_alt 'P m -3 m'
_space_group_IT_number 221
_space_group_name_Hall '-P 4 2 3'
loop_
_atom_site_label
_atom_site_fract_x
_atom_site_fract_y
_atom_site_fract_z
_atom_site_occupancy
K1 0.000 0.000 0.500 1
Mn1 0.500 0.500 0.500 1
Cl1 0.000 0.000 0.000 1

8.
# K2MnCl PBE relaxed
# DFT total energy (eV per atom): -3.181
# Relative energy among the computed polymorphs (meV per atom): 430
# Raw formation energy (eV per atom): 0.121
data_K2MnCl
_chemical_formula_sum 'K8 Mn4 Cl4'
_cell_length_a 8.357
_cell_length_b 8.357
_cell_length_c 8.357
_cell_angle_alpha 90.00
_cell_angle_beta 90.00
_cell_angle_gamma 90.00
_space_group_name_H-M_alt 'F -4 3 m'
_space_group_IT_number 216
_space_group_name_Hall 'F -4 2 3'
loop_
_atom_site_label
_atom_site_fract_x
_atom_site_fract_y
_atom_site_fract_z
_atom_site_occupancy
K1 0.000 0.000 0.000 1
K2 0.250 0.250 0.250 1
Mn1 0.000 0.000 0.500 1
Cl1 0.250 0.250 0.750 1